Entry 1:
# PBE LiNiBr2, relaxed
# - energy relative to the elements, uncorrected (eV per atom) = -0.532
# - crystal system = orthorhombic
# - distance to the lowest polymorph of the same formula (eV/atom) = 0.137
# - Fermi-level density of states (states/eV per cell) = 3.6
data_LiNiBr2
_chemical_formula_sum 'Li2 Ni2 Br4'
_cell_length_a 3.6271
_cell_length_b 8.0931
_cell_length_c 7.0977
_cell_angle_alpha 90.00
_cell_angle_beta 90.00
_cell_angle_gamma 90.00
_symmetry_space_group_name_H-M 'C m m m'
_symmetry_Int_Tables_number 65
_symmetry_space_group_name_Hall '-C 2 2'
loop_
_atom_site_label
_atom_site_type_symbol
_atom_site_fract_x
_atom_site_fract_y
_atom_site_fract_z
Li1 Li 0.0000 0.0000 0.0000
Ni1 Ni 0.0000 0.0000 0.5000
Br1 Br 0.0000 0.5000 0.2623

---

Entry 2:
# PBE Li2NiBr, relaxed
# - energy relative to the elements, uncorrected (eV per atom) = -0.263
# - crystal system = monoclinic
# - distance to the lowest polymorph of the same formula (eV/atom) = 0.041
# - Fermi-level density of states (states/eV per cell) = 6.6
data_Li2NiBr
_chemical_formula_sum 'Li4 Ni2 Br2'
_cell_length_a 5.8340
_cell_length_b 3.3732
_cell_length_c 7.3862
_cell_angle_alpha 90.00
_cell_angle_beta 105.39
_cell_angle_gamma 90.00
_symmetry_space_group_name_H-M 'C 1 2/m 1'
_symmetry_Int_Tables_number 12
_symmetry_space_group_name_Hall '-C 2y'
loop_
_atom_site_label
_atom_site_type_symbol
_atom_site_fract_x
_atom_site_fract_y
_atom_site_fract_z
Li1 Li 0.2453 0.0000 0.2363
Ni1 Ni 0.0000 0.0000 0.5000
Br1 Br 0.0000 0.5000 0.0000

---

Entry 3:
# PBE LiNiBr2, relaxed
# - energy relative to the elements, uncorrected (eV per atom) = -0.572
# - crystal system = trigonal
# - distance to the lowest polymorph of the same formula (eV/atom) = 0.098
# - Fermi-level density of states (states/eV per cell) = 15.5
data_LiNiBr2
_chemical_formula_sum 'Li3 Ni3 Br6'
_cell_length_a 3.8447
_cell_length_b 3.8447
_cell_length_c 18.3820
_cell_angle_alpha 90.00
_cell_angle_beta 90.00
_cell_angle_gamma 120.00
_symmetry_space_group_name_H-M 'R -3 m'
_symmetry_Int_Tables_number 166
_symmetry_space_group_name_Hall '-R 3 2"'
loop_
_atom_site_label
_atom_site_type_symbol
_atom_site_fract_x
_atom_site_fract_y
_atom_site_fract_z
Li1 Li 0.0000 0.0000 0.0000
Ni1 Ni 0.0000 0.0000 0.5000
Br1 Br 0.0000 0.0000 0.2454

---

Entry 4:
# PBE LiNiBr2, relaxed
# - energy relative to the elements, uncorrected (eV per atom) = -0.549
# - crystal system = orthorhombic
# - distance to the lowest polymorph of the same formula (eV/atom) = 0.120
# - Fermi-level density of states (states/eV per cell) = 1.4
data_LiNiBr2
_chemical_formula_sum 'Li2 Ni2 Br4'
_cell_length_a 3.6253
_cell_length_b 7.1691
_cell_length_c 7.6545
_cell_angle_alpha 90.00
_cell_angle_beta 90.00
_cell_angle_gamma 90.00
_symmetry_space_group_name_H-M 'I m m m'
_symmetry_Int_Tables_number 71
_symmetry_space_group_name_Hall '-I 2 2'
loop_
_atom_site_label
_atom_site_type_symbol
_atom_site_fract_x
_atom_site_fract_y
_atom_site_fract_z
Li1 Li 0.0000 0.0000 0.0000
Ni1 Ni 0.0000 0.5000 0.0000
Br1 Br 0.0000 0.2338 0.5000

---

Entry 5:
# PBE LiNiBr2, relaxed
# - energy relative to the elements, uncorrected (eV per atom) = -0.621
# - crystal system = tetragonal
# - distance to the lowest polymorph of the same formula (eV/atom) = 0.049
# - Fermi-level density of states (states/eV per cell) = 2.0
data_LiNiBr2
_chemical_formula_sum 'Li1 Ni1 Br2'
_cell_length_a 3.7810
_cell_length_b 3.7810
_cell_length_c 5.3412
_cell_angle_alpha 90.00
_cell_angle_beta 90.00
_cell_angle_gamma 90.00
_symmetry_space_group_name_H-M 'P 4/m m m'
_symmetry_Int_Tables_number 123
_symmetry_space_group_name_Hall '-P 4 2'
loop_
_atom_site_label
_atom_site_type_symbol
_atom_site_fract_x
_atom_site_fract_y
_atom_site_fract_z
Li1 Li 0.0000 0.0000 0.0000
Ni1 Ni 0.5000 0.5000 0.5000
Br1 Br 0.0000 0.0000 0.5000
Br2 Br 0.5000 0.5000 0.0000

---

Entry 6:
# PBE LiNiBr2, relaxed
# - energy relative to the elements, uncorrected (eV per atom) = -0.642
# - crystal system = orthorhombic
# - distance to the lowest polymorph of the same formula (eV/atom) = 0.027
# - Fermi-level density of states (states/eV per cell) = 4.5
data_LiNiBr2
_chemical_formula_sum 'Li2 Ni2 Br4'
_cell_length_a 5.5762
_cell_length_b 4.2922
_cell_length_c 7.4644
_cell_angle_alpha 90.00
_cell_angle_beta 90.00
_cell_angle_gamma 90.00
_symmetry_space_group_name_H-M 'A m m 2'
_symmetry_Int_Tables_number 38
_symmetry_space_group_name_Hall 'A 2 -2'
loop_
_atom_site_label
_atom_site_type_symbol
_atom_site_fract_x
_atom_site_fract_y
_atom_site_fract_z
Li1 Li 0.0000 0.0000 0.0000
Ni1 Ni 0.5000 0.0000 0.3312
Br1 Br 0.0000 0.0000 0.3324
Br2 Br 0.5000 0.0000 0.9990

---

Entry 7:
# PBE LiNiBr2, relaxed
# - energy relative to the elements, uncorrected (eV per atom) = -0.599
# - crystal system = orthorhombic
# - distance to the lowest polymorph of the same formula (eV/atom) = 0.070
# - Fermi-level density of states (states/eV per cell) = 7.4
data_LiNiBr2
_chemical_formula_sum 'Li2 Ni2 Br4'
_cell_length_a 3.6081
_cell_length_b 3.6026
_cell_length_c 13.9502
_cell_angle_alpha 90.00
_cell_angle_beta 90.00
_cell_angle_gamma 90.00
_symmetry_space_group_name_H-M 'A m m 2'
_symmetry_Int_Tables_number 38
_symmetry_space_group_name_Hall 'A 2 -2'
loop_
_atom_site_label
_atom_site_type_symbol
_atom_site_fract_x
_atom_site_fract_y
_atom_site_fract_z
Li1 Li 0.0000 0.0000 0.0000
Ni1 Ni 0.5000 0.0000 0.3571
Br1 Br 0.0000 0.0000 0.8132
Br2 Br 0.5000 0.0000 0.5373

---

Entry 8:
# PBE LiNiBr6, relaxed
# - energy relative to the elements, uncorrected (eV per atom) = -0.427
# - crystal system = triclinic
# - Fermi-level density of states (states/eV per cell) = 5.5
data_LiNiBr6
_chemical_formula_sum 'Li1 Ni1 Br6'
_cell_length_a 5.7700
_cell_length_b 6.8297
_cell_length_c 6.8731
_cell_angle_alpha 70.44
_cell_angle_beta 89.97
_cell_angle_gamma 80.04
_symmetry_space_group_name_H-M 'P -1'
_symmetry_Int_Tables_number 2
_symmetry_space_group_name_Hall '-P 1'
loop_
_atom_site_label
_atom_site_type_symbol
_atom_site_fract_x
_atom_site_fract_y
_atom_site_fract_z
Li1 Li 0.0000 0.0000 0.0000
Ni1 Ni 0.0000 0.5000 0.0000
Br1 Br 0.0769 0.1623 0.2774
Br2 Br 0.2143 0.3450 0.7786
Br3 Br 0.3166 0.6226 0.1534

---

Entry 9:
# PBE LiNiBr2, relaxed
# - energy relative to the elements, uncorrected (eV per atom) = -0.257
# - crystal system = cubic
# - distance to the lowest polymorph of the same formula (eV/atom) = 0.412
# - Fermi-level density of states (states/eV per cell) = 56.1
data_LiNiBr2
_chemical_formula_sum 'Li4 Ni4 Br8'
_cell_length_a 6.7793
_cell_length_b 6.7793
_cell_length_c 6.7793
_cell_angle_alpha 90.00
_cell_angle_beta 90.00
_cell_angle_gamma 90.00
_symmetry_space_group_name_H-M 'F m -3 m'
_symmetry_Int_Tables_number 225
_symmetry_space_group_name_Hall '-F 4 2 3'
loop_
_atom_site_label
_atom_site_type_symbol
_atom_site_fract_x
_atom_site_fract_y
_atom_site_fract_z
Li1 Li 0.0000 0.0000 0.0000
Ni1 Ni 0.0000 0.0000 0.5000
Br1 Br 0.2500 0.2500 0.2500

---

Entry 10:
# PBE LiNiBr2, relaxed
# - energy relative to the elements, uncorrected (eV per atom) = -0.522
# - crystal system = orthorhombic
# - distance to the lowest polymorph of the same formula (eV/atom) = 0.148
# - Fermi-level density of states (states/eV per cell) = 4.6
data_LiNiBr2
_chemical_formula_sum 'Li1 Ni1 Br2'
_cell_length_a 3.5393
_cell_length_b 3.5520
_cell_length_c 8.1406
_cell_angle_alpha 90.00
_cell_angle_beta 90.00
_cell_angle_gamma 90.00
_symmetry_space_group_name_H-M 'P m m m'
_symmetry_Int_Tables_number 47
_symmetry_space_group_name_Hall '-P 2 2'
loop_
_atom_site_label
_atom_site_type_symbol
_atom_site_fract_x
_atom_site_fract_y
_atom_site_fract_z
Li1 Li 0.0000 0.0000 0.0000
Ni1 Ni 0.0000 0.5000 0.5000
Br1 Br 0.5000 0.0000 0.5000
Br2 Br 0.5000 0.5000 0.0000

---

We obtain volume values of 26.04 17.52 19.61 24.87 19.09 22.33 22.67 31.36 19.47 25.59 A^3/atom for the records listed above, in that order.
We obtain calculated total energy values of -3.2925 -3.0834 -3.3321 -3.3095 -3.3811 -3.4026 -3.3597 -2.6434 -3.0173 -3.2818 eV per atom for the records listed above, in that order.